# Tb6PrSm2 | Alexandria | PBE-GGA | relaxed
data_Tb6PrSm2
_chemical_formula_sum 'Tb12 Pr2 Sm4'
_space_group_name_H-M_alt 'C 1 2/m 1'
_space_group_IT_number 12
_cell_length_a 16.740
_cell_length_b 10.386
_cell_length_c 3.506
_cell_angle_alpha 90.00
_cell_angle_beta 101.98
_cell_angle_gamma 90.00
loop_
_space_group_symop_operation_xyz
'x,y,z'
'-x,-y,-z'
'-x,y,-z'
'x,-y,z'
'x+1/2,y+1/2,z'
'-x+1/2,-y+1/2,-z'
'-x+1/2,y+1/2,-z'
'x+1/2,-y+1/2,z'
loop_
_atom_site_label
_atom_site_type_symbol
_atom_site_fract_x
_atom_site_fract_y
_atom_site_fract_z
_atom_site_occupancy
Tb1 Tb 0.000 0.183 0.000 1
Tb2 Tb 0.178 0.333 0.680 1
Pr1 Pr 0.000 0.500 0.500 1
Sm1 Sm 0.158 0.000 0.656 1
# E = -4.5643 eV/atom
# DOS(E_F) = 1.565 states/eV per atom
# ΔE to the lowest computed polymorph = 0.000 eV/f.u.
# crystal system = monoclinic

# TbPr6Sm4 | Alexandria | PBE-GGA | relaxed
data_TbPr6Sm4
_chemical_formula_sum 'Tb2 Pr12 Sm8'
_space_group_name_H-M_alt 'I -4 2 m'
_space_group_IT_number 121
_space_group_name_Hall 'I -4 2'
_cell_length_a 6.865
_cell_length_b 6.865
_cell_length_c 16.819
_cell_angle_alpha 90.00
_cell_angle_beta 90.00
_cell_angle_gamma 90.00
loop_
_atom_site_label
_atom_site_type_symbol
_atom_site_fract_x
_atom_site_fract_y
_atom_site_fract_z
_atom_site_occupancy
Tb1 Tb 0.000 0.000 0.000 1
Pr1 Pr 0.000 0.500 0.000 1
Pr2 Pr 0.190 0.190 0.178 1
Sm1 Sm 0.174 0.174 0.382 1
# E = -4.4634 eV/atom
# DOS(E_F) = 1.477 states/eV per atom
# ΔE to the lowest computed polymorph = 0.000 eV/f.u.
# crystal system = tetragonal

# Tb3Pr4Sm2 | Alexandria | PBE-GGA | relaxed
data_Tb3Pr4Sm2
_chemical_formula_sum 'Tb6 Pr8 Sm4'
_space_group_name_H-M_alt 'C 1 2/m 1'
_space_group_IT_number 12
_cell_length_a 17.598
_cell_length_b 3.587
_cell_length_c 9.920
_cell_angle_alpha 90.00
_cell_angle_beta 100.30
_cell_angle_gamma 90.00
loop_
_space_group_symop_operation_xyz
'x,y,z'
'-x,-y,-z'
'-x,y,-z'
'x,-y,z'
'x+1/2,y+1/2,z'
'-x+1/2,-y+1/2,-z'
'-x+1/2,y+1/2,-z'
'x+1/2,-y+1/2,z'
loop_
_atom_site_label
_atom_site_type_symbol
_atom_site_fract_x
_atom_site_fract_y
_atom_site_fract_z
_atom_site_occupancy
Tb1 Tb 0.000 0.000 0.000 1
Tb2 Tb 0.163 0.000 0.545 1
Pr1 Pr 0.001 0.500 0.669 1
Pr2 Pr 0.164 0.500 0.220 1
Sm1 Sm 0.175 0.500 0.880 1
# E = -4.6652 eV/atom
# DOS(E_F) = 1.521 states/eV per atom
# ΔE to the lowest computed polymorph = 0.000 eV/f.u.
# crystal system = monoclinic

# Tb3Pr5Sm | Alexandria | PBE-GGA | relaxed
data_Tb3Pr5Sm
_chemical_formula_sum 'Tb12 Pr20 Sm4'
_space_group_name_H-M_alt 'C 1 2/c 1'
_space_group_IT_number 15
_cell_length_a 20.471
_cell_length_b 6.319
_cell_length_c 11.723
_cell_angle_alpha 90.00
_cell_angle_beta 122.20
_cell_angle_gamma 90.00
loop_
_space_group_symop_operation_xyz
'x,y,z'
'-x,-y,-z'
'-x,y,-z+1/2'
'x,-y,z+1/2'
'x+1/2,y+1/2,z'
'-x+1/2,-y+1/2,-z'
'-x+1/2,y+1/2,-z+1/2'
'x+1/2,-y+1/2,z+1/2'
loop_
_atom_site_label
_atom_site_type_symbol
_atom_site_fract_x
_atom_site_fract_y
_atom_site_fract_z
_atom_site_occupancy
Tb1 Tb 0.000 0.000 0.000 1
Tb2 Tb 0.176 0.226 0.027 1
Pr1 Pr 0.000 0.407 0.250 1
Pr2 Pr 0.141 0.319 0.657 1
Pr3 Pr 0.179 0.188 0.335 1
Sm1 Sm 0.000 0.109 0.750 1
# E = -4.4579 eV/atom
# DOS(E_F) = 1.413 states/eV per atom
# ΔE to the lowest computed polymorph = 0.000 eV/f.u.
# crystal system = monoclinic

# Tb4PrSm5 | Alexandria | PBE-GGA | relaxed
data_Tb4PrSm5
_chemical_formula_sum 'Tb4 Pr1 Sm5'
_space_group_name_H-M_alt 'P -1'
_space_group_IT_number 2
_cell_length_a 3.610
_cell_length_b 9.541
_cell_length_c 10.210
_cell_angle_alpha 74.34
_cell_angle_beta 89.94
_cell_angle_gamma 79.12
loop_
_space_group_symop_operation_xyz
'x,y,z'
'-x,-y,-z'
loop_
_atom_site_label
_atom_site_type_symbol
_atom_site_fract_x
_atom_site_fract_y
_atom_site_fract_z
_atom_site_occupancy
Tb1 Tb 0.101 0.298 0.301 1
Tb2 Tb 0.299 0.901 0.900 1
Pr1 Pr 0.500 0.500 0.000 1
Sm1 Sm 0.101 0.298 0.800 1
Sm2 Sm 0.300 0.901 0.400 1
Sm3 Sm 0.500 0.500 0.500 1
# E = -4.6750 eV/atom
# DOS(E_F) = 1.304 states/eV per atom
# ΔE to the lowest computed polymorph = 0.000 eV/f.u.
# crystal system = triclinic

# Tb5Pr4Sm2 | Alexandria | PBE-GGA | relaxed
data_Tb5Pr4Sm2
_chemical_formula_sum 'Tb10 Pr8 Sm4'
_space_group_name_H-M_alt 'C 1 2/m 1'
_space_group_IT_number 12
_cell_length_a 11.223
_cell_length_b 7.522
_cell_length_c 9.336
_cell_angle_alpha 90.00
_cell_angle_beta 106.45
_cell_angle_gamma 90.00
loop_
_space_group_symop_operation_xyz
'x,y,z'
'-x,-y,-z'
'-x,y,-z'
'x,-y,z'
'x+1/2,y+1/2,z'
'-x+1/2,-y+1/2,-z'
'-x+1/2,y+1/2,-z'
'x+1/2,-y+1/2,z'
loop_
_atom_site_label
_atom_site_type_symbol
_atom_site_fract_x
_atom_site_fract_y
_atom_site_fract_z
_atom_site_occupancy
Tb1 Tb 0.000 0.000 0.000 1
Tb2 Tb 0.069 0.281 0.276 1
Pr1 Pr 0.173 0.500 0.622 1
Pr2 Pr 0.188 0.500 0.998 1
Sm1 Sm 0.141 0.000 0.626 1
# E = -4.5880 eV/atom
# DOS(E_F) = 1.562 states/eV per atom
# ΔE to the lowest computed polymorph = 0.092 eV/f.u.
# crystal system = monoclinic

# Tb3Pr4Sm8 | Alexandria | PBE-GGA | relaxed
data_Tb3Pr4Sm8
_chemical_formula_sum 'Tb9 Pr12 Sm24'
_space_group_name_H-M_alt 'R -3 m'
_space_group_IT_number 166
_space_group_name_Hall '-R 3 2"'
_cell_length_a 7.0615
_cell_length_b 7.0615
_cell_length_c 36.1858
_cell_angle_alpha 90.00
_cell_angle_beta 90.00
_cell_angle_gamma 120.00
loop_
_atom_site_label
_atom_site_type_symbol
_atom_site_fract_x
_atom_site_fract_y
_atom_site_fract_z
_atom_site_occupancy
Tb1 Tb 0.0000 0.5000 0.0000 1
Pr1 Pr 0.0000 0.0000 0.0000 1
Pr2 Pr 0.0000 0.0000 0.1636 1
Pr3 Pr 0.0000 0.0000 0.5000 1
Sm1 Sm 0.0000 0.0000 0.2547 1
Sm2 Sm 0.0017 0.5009 0.2514 1
# E = -4.6032 eV/atom
# DOS(E_F) = 1.578 states/eV per atom
# ΔE to the lowest computed polymorph = 0.000 eV/f.u.
# crystal system = trigonal

# Tb2Pr5Sm3 | Alexandria | PBE-GGA | relaxed
data_Tb2Pr5Sm3
_chemical_formula_sum 'Tb8 Pr20 Sm12'
_space_group_name_H-M_alt 'C 1 2/c 1'
_space_group_IT_number 15
_cell_length_a 10.917
_cell_length_b 14.955
_cell_length_c 10.193
_cell_angle_alpha 90.00
_cell_angle_beta 122.38
_cell_angle_gamma 90.00
loop_
_space_group_symop_operation_xyz
'x,y,z'
'-x,-y,-z'
'-x,y,-z+1/2'
'x,-y,z+1/2'
'x+1/2,y+1/2,z'
'-x+1/2,-y+1/2,-z'
'-x+1/2,y+1/2,-z+1/2'
'x+1/2,-y+1/2,z+1/2'
loop_
_atom_site_label
_atom_site_type_symbol
_atom_site_fract_x
_atom_site_fract_y
_atom_site_fract_z
_atom_site_occupancy
Tb1 Tb 0.155 0.127 0.058 1
Pr1 Pr 0.000 0.019 0.250 1
Pr2 Pr 0.000 0.228 0.250 1
Pr3 Pr 0.000 0.478 0.750 1
Pr4 Pr 0.250 0.127 0.751 1
Sm1 Sm 0.000 0.270 0.750 1
Sm2 Sm 0.153 0.375 0.557 1
# E = -4.5616 eV/atom
# DOS(E_F) = 1.694 states/eV per atom
# ΔE to the lowest computed polymorph = 0.000 eV/f.u.
# crystal system = monoclinic

# Tb8Pr4Sm3 | Alexandria | PBE-GGA | relaxed
data_Tb8Pr4Sm3
_chemical_formula_sum 'Tb24 Pr12 Sm9'
_space_group_name_H-M_alt 'R -3 m'
_space_group_IT_number 166
_space_group_name_Hall '-R 3 2"'
_cell_length_a 7.0315
_cell_length_b 7.0315
_cell_length_c 35.9293
_cell_angle_alpha 90.00
_cell_angle_beta 90.00
_cell_angle_gamma 120.00
loop_
_atom_site_label
_atom_site_type_symbol
_atom_site_fract_x
_atom_site_fract_y
_atom_site_fract_z
_atom_site_occupancy
Tb1 Tb 0.0000 0.0000 0.2455 1
Tb2 Tb 0.0015 0.5008 0.7508 1
Pr1 Pr 0.0000 0.0000 0.0000 1
Pr2 Pr 0.0000 0.0000 0.3365 1
Pr3 Pr 0.0000 0.0000 0.5000 1
Sm1 Sm 0.0000 0.5000 0.5000 1
# E = -4.5681 eV/atom
# DOS(E_F) = 1.599 states/eV per atom
# ΔE to the lowest computed polymorph = 0.000 eV/f.u.
# crystal system = trigonal

# Tb5Pr2Sm4 | Alexandria | PBE-GGA | relaxed
data_Tb5Pr2Sm4
_chemical_formula_sum 'Tb10 Pr4 Sm8'
_space_group_name_H-M_alt 'C 1 2/m 1'
_space_group_IT_number 12
_cell_length_a 12.213
_cell_length_b 6.929
_cell_length_c 10.573
_cell_angle_alpha 90.00
_cell_angle_beta 123.29
_cell_angle_gamma 90.00
loop_
_space_group_symop_operation_xyz
'x,y,z'
'-x,-y,-z'
'-x,y,-z'
'x,-y,z'
'x+1/2,y+1/2,z'
'-x+1/2,-y+1/2,-z'
'-x+1/2,y+1/2,-z'
'x+1/2,-y+1/2,z'
loop_
_atom_site_label
_atom_site_type_symbol
_atom_site_fract_x
_atom_site_fract_y
_atom_site_fract_z
_atom_site_occupancy
Tb1 Tb 0.000 0.000 0.000 1
Tb2 Tb 0.001 0.232 0.672 1
Pr1 Pr 0.239 0.500 0.340 1
Sm1 Sm 0.188 0.500 0.000 1
Sm2 Sm 0.217 0.500 0.657 1
# E = -4.5306 eV/atom
# DOS(E_F) = 1.572 states/eV per atom
# ΔE to the lowest computed polymorph = 0.184 eV/f.u.
# crystal system = monoclinic

Number 1: DFT formation energy 0.1023 eV/atom. Number 2: DFT formation energy 0.2806 eV/atom. Number 3: DFT formation energy 0.0512 eV/atom. Number 4: DFT formation energy 0.2652 eV/atom. Number 5: DFT formation energy 0.0146 eV/atom. Number 6: DFT formation energy 0.1127 eV/atom. Number 7: DFT formation energy 0.1142 eV/atom. Number 8: DFT formation energy 0.1699 eV/atom. Number 9: DFT formation energy 0.1197 eV/atom. Number 10: DFT formation energy 0.1591 eV/atom.